AcTiCr2O8: relaxed, PBE+U.

## Properties
Spin magnetization ... 3.0 μB/f.u.
Crystal system ... triclinic
Symmetry ... P-1, No. 2
Fermi-level density of states ... 0.298 states/eV/atom
Total DFT energy (no corrections) ... -7.753 eV/atom

```
AcTiCr2O8
1.0
0.067 -1.390 4.897
4.584 0.780 2.162
-1.919 6.701 2.187
Ac Ti Cr O
1 1 2 8
Cartesian
-0.960 3.350 1.093
0.000 0.000 0.000
0.225 5.016 4.316
2.506 1.075 4.929
3.235 1.597 3.371
3.527 -0.171 5.549
0.823 0.456 4.832
-0.504 4.494 5.874
-0.795 6.263 3.696
1.908 5.636 4.413
2.423 2.499 5.894
0.308 3.592 3.351
```